A plane-wave DFT calculation with PBE with a Hubbard U was carried out for an optimized crystal structure of SrMnPO2.

## Properties
- Total DFT energy (no corrections): -5.847 eV per atom
- Total magnetization: 0.50 μB per atom
- Density: 4.32 Mg/m³

a b c (Å): 4.113 4.113 4.670
angles (deg): 90.00 90.00 90.00
Sites, in units of the cell vectors:
Sr (0.500, 0.500, 0.500)
Mn (0.000, 0.000, 0.000)
O (0.000, 0.500, 0.000)
O (0.500, 0.000, 0.000)
P (0.000, 0.000, 0.500)